No. 1
# SrPr2P | the Alexandria database | PBE-GGA | relaxed
data_SrPr2P
_chemical_formula_sum 'Sr3 Pr6 P3'
_cell_length_a 4.0678
_cell_length_b 4.0678
_cell_length_c 32.6001
_cell_angle_alpha 90.00
_cell_angle_beta 90.00
_cell_angle_gamma 120.00
_space_group_name_H-M_alt 'R -3 m'
_space_group_IT_number 166
_space_group_name_Hall '-R 3 2"'
loop_
_atom_site_label
_atom_site_fract_x
_atom_site_fract_y
_atom_site_fract_z
Sr1 0.0000 0.0000 0.0000
Pr1 0.0000 0.0000 0.1173
P1 0.0000 0.0000 0.5000
# Total moment: 0.06 μB per atom
# ΔH_f (0 K): -2.38 eV/f.u.
# Polymorph energy (0 for the lowest one): 90 meV/atom
# Crystal system: trigonal

No. 2
# SrCeO2 | the Alexandria database | PBE-GGA | relaxed
data_SrCeO2
_chemical_formula_sum 'Sr3 Ce3 O6'
_cell_length_a 3.4982
_cell_length_b 3.4982
_cell_length_c 18.8584
_cell_angle_alpha 90.00
_cell_angle_beta 90.00
_cell_angle_gamma 120.00
_space_group_name_H-M_alt 'R 3 m'
_space_group_IT_number 160
_space_group_name_Hall 'R 3 -2"'
loop_
_atom_site_label
_atom_site_fract_x
_atom_site_fract_y
_atom_site_fract_z
Sr1 0.0000 0.0000 0.0000
Ce1 0.0000 0.0000 0.1739
O1 0.0000 0.0000 0.5866
O2 0.0000 0.0000 0.7599
# Total moment: 0.22 μB per atom
# Polymorph energy (0 for the lowest one): 135 meV/atom
# Uncorrected formation energy: -2.56 eV/atom
# Crystal system: trigonal

No. 3
# Ir3WC | the Alexandria database | PBE-GGA | relaxed
data_Ir3WC
_chemical_formula_sum 'Ir3 W1 C1'
_cell_length_a 4.106
_cell_length_b 4.106
_cell_length_c 4.106
_cell_angle_alpha 90.00
_cell_angle_beta 90.00
_cell_angle_gamma 90.00
_space_group_name_H-M_alt 'P m -3 m'
_space_group_IT_number 221
_space_group_name_Hall '-P 4 2 3'
loop_
_atom_site_label
_atom_site_fract_x
_atom_site_fract_y
_atom_site_fract_z
Ir1 0.000 0.000 0.500
W1 0.500 0.500 0.500
C1 0.000 0.000 0.000
# Total moment: 0.28 μB per atom
# ΔH_f (0 K): 3.58 eV/f.u.
# Polymorph energy (0 for the lowest one): 0 meV/atom
# Crystal system: cubic

No. 4
# Tb3HoTm6Th2 | the Alexandria database | PBE-GGA | relaxed
data_Tb3HoTm6Th2
_chemical_formula_sum 'Tb6 Ho2 Tm12 Th4'
_cell_length_a 6.117
_cell_length_b 10.589
_cell_length_c 11.633
_cell_angle_alpha 90.00
_cell_angle_beta 100.11
_cell_angle_gamma 90.00
_space_group_name_H-M_alt 'C 1 2/m 1'
_space_group_IT_number 12
_space_group_name_Hall '-C 2y'
loop_
_atom_site_label
_atom_site_fract_x
_atom_site_fract_y
_atom_site_fract_z
Tb1 0.000 0.000 0.000
Tb2 0.000 0.334 0.000
Ho1 0.000 0.500 0.500
Tm1 0.246 0.000 0.748
Tm2 0.249 0.168 0.252
Th1 0.000 0.167 0.500
# Total moment: 0.00 μB per atom
# ΔH_f (0 K): 0.25 eV/f.u.
# Crystal system: monoclinic

No. 5
# ZnPtN2O | the Alexandria database | PBE-GGA | relaxed
data_ZnPtN2O
_chemical_formula_sum 'Zn1 Pt1 N2 O1'
_cell_length_a 3.818
_cell_length_b 3.818
_cell_length_c 4.335
_cell_angle_alpha 90.00
_cell_angle_beta 90.00
_cell_angle_gamma 90.00
_space_group_name_H-M_alt 'P 4/m m m'
_space_group_IT_number 123
_space_group_name_Hall '-P 4 2'
loop_
_atom_site_label
_atom_site_fract_x
_atom_site_fract_y
_atom_site_fract_z
Zn1 0.000 0.000 0.000
Pt1 0.500 0.500 0.500
N1 0.000 0.500 0.500
O1 0.500 0.500 0.000
# Total moment: 0.00 μB per atom
# Uncorrected formation energy: 1.15 eV/atom
# Crystal system: tetragonal

No. 6
# KSn4Au4 | the Alexandria database | PBE-GGA | relaxed
data_KSn4Au4
_chemical_formula_sum 'K2 Sn8 Au8'
_cell_length_a 9.413
_cell_length_b 9.413
_cell_length_c 5.670
_cell_angle_alpha 90.00
_cell_angle_beta 90.00
_cell_angle_gamma 90.00
_space_group_name_H-M_alt 'P 42/n'
_space_group_IT_number 86
loop_
_space_group_symop_operation_xyz
'x,y,z'
'-x,-y,-z'
'-y,x+1/2,z+1/2'
'y,-x+1/2,-z+1/2'
'-x+1/2,-y+1/2,z'
'x+1/2,y+1/2,-z'
'y+1/2,-x,z+1/2'
'-y+1/2,x,-z+1/2'
loop_
_atom_site_label
_atom_site_fract_x
_atom_site_fract_y
_atom_site_fract_z
K1 0.250 0.250 0.250
Sn1 0.116 0.623 0.159
Au1 0.080 0.582 0.669
# Total moment: 0.00 μB per atom
# ΔH_f (0 K): -2.17 eV/f.u.
# Polymorph energy (0 for the lowest one): 7 meV/atom
# Crystal system: tetragonal

No. 7
# HgMoAu2 | the Alexandria database | PBE-GGA | relaxed
data_HgMoAu2
_chemical_formula_sum 'Hg1 Mo1 Au2'
_cell_length_a 2.886
_cell_length_b 2.886
_cell_length_c 8.702
_cell_angle_alpha 90.00
_cell_angle_beta 90.00
_cell_angle_gamma 90.00
_space_group_name_H-M_alt 'P 4 m m'
_space_group_IT_number 99
_space_group_name_Hall 'P 4 -2'
loop_
_atom_site_label
_atom_site_fract_x
_atom_site_fract_y
_atom_site_fract_z
Hg1 0.000 0.000 0.000
Mo1 0.500 0.500 0.251
Au1 0.000 0.000 0.478
Au2 0.500 0.500 0.731
# Total moment: 0.00 μB per atom
# ΔH_f (0 K): 1.07 eV/f.u.
# Crystal system: tetragonal

No. 8
# PtSe2Cl | the Alexandria database | PBE-GGA | relaxed
data_PtSe2Cl
_chemical_formula_sum 'Pt2 Se4 Cl2'
_cell_length_a 3.852
_cell_length_b 6.666
_cell_length_c 7.789
_cell_angle_alpha 89.18
_cell_angle_beta 87.32
_cell_angle_gamma 85.72
_space_group_name_H-M_alt 'P -1'
_space_group_IT_number 2
_space_group_name_Hall '-P 1'
loop_
_atom_site_label
_atom_site_fract_x
_atom_site_fract_y
_atom_site_fract_z
Pt1 0.000 0.000 0.000
Pt2 0.500 0.500 0.000
Se1 0.020 0.679 0.178
Se2 0.462 0.172 0.157
Cl1 0.284 0.755 0.423
# Total moment: 0.00 μB per atom
# Polymorph energy (0 for the lowest one): 0 meV/atom
# Uncorrected formation energy: -0.34 eV/atom
# Crystal system: triclinic

No. 9
# Pu4Ge5Pt3 | the Alexandria database | PBE-GGA | relaxed
data_Pu4Ge5Pt3
_chemical_formula_sum 'Pu8 Ge10 Pt6'
_cell_length_a 15.530
_cell_length_b 4.679
_cell_length_c 7.150
_cell_angle_alpha 90.00
_cell_angle_beta 110.44
_cell_angle_gamma 90.00
_space_group_name_H-M_alt 'C 1 2/m 1'
_space_group_IT_number 12
_space_group_name_Hall '-C 2y'
loop_
_atom_site_label
_atom_site_fract_x
_atom_site_fract_y
_atom_site_fract_z
Pu1 0.095 0.000 0.424
Pu2 0.165 0.000 0.918
Ge1 0.000 0.000 0.000
Ge2 0.057 0.500 0.683
Ge3 0.185 0.500 0.265
Pt1 0.000 0.500 0.000
Pt2 0.222 0.500 0.668
# Total moment: 0.00 μB per atom
# ΔH_f (0 K): -6.76 eV/f.u.
# Crystal system: monoclinic

No. 10
# Ni3RuCl | the Alexandria database | PBE-GGA | relaxed
data_Ni3RuCl
_chemical_formula_sum 'Ni3 Ru1 Cl1'
_cell_length_a 4.113
_cell_length_b 4.113
_cell_length_c 4.113
_cell_angle_alpha 90.00
_cell_angle_beta 90.00
_cell_angle_gamma 90.00
_space_group_name_H-M_alt 'P m -3 m'
_space_group_IT_number 221
_space_group_name_Hall '-P 4 2 3'
loop_
_atom_site_label
_atom_site_fract_x
_atom_site_fract_y
_atom_site_fract_z
Ni1 0.000 0.000 0.500
Ru1 0.500 0.500 0.500
Cl1 0.000 0.000 0.000
# Total moment: 0.57 μB per atom
# Polymorph energy (0 for the lowest one): 0 meV/atom
# Uncorrected formation energy: 0.88 eV/atom
# Crystal system: cubic

No. 11
# La7As5S | the Alexandria database | PBE-GGA | relaxed
data_La7As5S
_chemical_formula_sum 'La28 As20 S4'
_cell_length_a 14.322
_cell_length_b 4.297
_cell_length_c 25.415
_cell_angle_alpha 90.00
_cell_angle_beta 91.68
_cell_angle_gamma 90.00
_space_group_name_H-M_alt 'C 1 m 1'
_space_group_IT_number 8
_space_group_name_Hall 'C -2y'
loop_
_atom_site_label
_atom_site_fract_x
_atom_site_fract_y
_atom_site_fract_z
La1 0.000 0.000 0.000
La2 0.005 0.000 0.573
La3 0.047 0.500 0.428
La4 0.062 0.500 0.142
La5 0.083 0.000 0.285
La6 0.197 0.000 0.788
La7 0.220 0.500 0.932
La8 0.232 0.500 0.646
La9 0.275 0.000 0.500
La10 0.282 0.000 0.073
La11 0.321 0.500 0.358
La12 0.330 0.500 0.217
La13 0.451 0.000 0.857
La14 0.459 0.000 0.715
As1 0.085 0.000 0.888
As2 0.098 0.000 0.685
As3 0.140 0.500 0.537
As4 0.141 0.500 0.037
As5 0.182 0.000 0.389
As6 0.196 0.000 0.186
As7 0.363 0.000 0.960
As8 0.368 0.000 0.611
As9 0.411 0.500 0.463
As10 0.419 0.500 0.113
S1 0.338 0.500 0.767
S2 0.442 0.000 0.307
# Total moment: 0.10 μB per atom
# Uncorrected formation energy: -1.48 eV/atom
# Crystal system: monoclinic

No. 12
# PrHoHf | the Alexandria database | PBE-GGA | relaxed
data_PrHoHf
_chemical_formula_sum 'Pr1 Ho1 Hf1'
_cell_length_a 3.4264
_cell_length_b 3.4264
_cell_length_c 8.5370
_cell_angle_alpha 90.00
_cell_angle_beta 90.00
_cell_angle_gamma 120.00
_space_group_name_H-M_alt 'P 3 m 1'
_space_group_IT_number 156
_space_group_name_Hall 'P 3 -2"'
loop_
_atom_site_label
_atom_site_fract_x
_atom_site_fract_y
_atom_site_fract_z
Pr1 0.0000 0.0000 0.0000
Ho1 0.3333 0.6667 0.6214
Hf1 0.6667 0.3333 0.3178
# Total moment: 0.00 μB per atom
# ΔH_f (0 K): 0.50 eV/f.u.
# Polymorph energy (0 for the lowest one): 19 meV/atom
# Crystal system: trigonal